An optimized crystal structure of BaCr2Te. Source: the Alexandria database, functional GGA-PBE.

Values from the calculation:
- calculated volume (Å³/atom) = 28.60
- magnetization (μB/cell) = 0.163
- final energy (eV per atom) = -5.99

abc: 4.168 3.990 6.879
angles: 90.23 90.00 90.00
Fractional positions:
Cr 0.000 0.873 0.160
Cr 0.500 0.375 0.166
Te 0.000 0.375 0.447
Ba 0.500 0.877 0.728

***

An optimized crystal structure of BaTlCr2Te. Source: the Alexandria database, functional GGA-PBE.

Values from the calculation:
- energy relative to the lowest polymorph listed for this composition (meV/atom) = 0
- calculated volume (Å³/atom) = 36.16
- magnetization (μB/cell) = 8.257
- final energy (eV per atom) = -4.76

abc: 5.233 6.602 5.233
angles: 90.00 90.00 90.00
Fractional positions:
Cr 0.000 0.000 0.500
Cr 0.500 0.000 0.000
Te 0.500 0.500 0.500
Ba 0.000 0.500 0.000
Tl 0.000 0.000 0.000

***

An optimized crystal structure of BaTlCr2Te. Source: the Alexandria database, functional GGA-PBE.

Values from the calculation:
- energy relative to the lowest polymorph listed for this composition (meV/atom) = 531
- calculated volume (Å³/atom) = 31.70
- magnetization (μB/cell) = 0.049
- final energy (eV per atom) = -4.23

abc: 4.968 6.422 4.968
angles: 90.00 90.00 90.00
Fractional positions:
Te 0.000 0.000 0.000
Ba 0.000 0.500 0.000
Cr 0.000 0.000 0.500
Cr 0.500 0.000 0.000
Tl 0.500 0.500 0.500

***

An optimized crystal structure of BaVCr2Te. Source: the Alexandria database, functional GGA-PBE.

Values from the calculation:
- calculated volume (Å³/atom) = 25.77
- magnetization (μB/cell) = 6.352
- final energy (eV per atom) = -6.25

abc: 4.941 5.278 4.941
angles: 90.00 90.00 90.00
Fractional positions:
Te 0.000 0.500 0.000
V 0.000 0.000 0.000
Cr 0.000 0.000 0.500
Cr 0.500 0.000 0.000
Ba 0.500 0.500 0.500

***

An optimized crystal structure of BaTi2Cr. Source: the Alexandria database, functional GGA-PBE.

Values from the calculation:
- energy relative to the lowest polymorph listed for this composition (meV/atom) = 157
- calculated volume (Å³/atom) = 19.64
- magnetization (μB/cell) = 0.002
- final energy (eV per atom) = -5.75
- calculated formation energy (eV/atom) = 1.08

abc: 4.808 4.808 4.808
angles: 60.00 60.00 60.00
Fractional positions:
Ba 0.500 0.500 0.500
Ti 0.250 0.250 0.250
Ti 0.750 0.750 0.750
Cr 0.000 0.000 0.000

***

An optimized crystal structure of BaTiCr2. Source: the Alexandria database, functional GGA-PBE.

Values from the calculation:
- energy relative to the lowest polymorph listed for this composition (meV/atom) = 0
- calculated volume (Å³/atom) = 22.48
- magnetization (μB/cell) = 5.573
- final energy (eV per atom) = -6.21
- calculated formation energy (eV/atom) = 1.06

abc: 5.029 5.029 5.029
angles: 60.00 60.00 60.00
Fractional positions:
Ti 0.000 0.000 0.000
Ba 0.500 0.500 0.500
Cr 0.250 0.250 0.250
Cr 0.750 0.750 0.750

***

An optimized crystal structure of BaTi3Cr. Source: the Alexandria database, functional GGA-PBE.

Values from the calculation:
- energy relative to the lowest polymorph listed for this composition (meV/atom) = 0
- calculated volume (Å³/atom) = 22.25
- magnetization (μB/cell) = 0.002
- final energy (eV per atom) = -6.43
- calculated formation energy (eV/atom) = 0.62

abc: 4.809 4.809 4.809
angles: 90.00 90.00 90.00
Fractional positions:
Ti 0.000 0.500 0.000
Ti 0.500 0.000 0.000
Ti 0.000 0.000 0.500
Ba 0.500 0.500 0.500
Cr 0.000 0.000 0.000

***

An optimized crystal structure of BaTiCr2. Source: the Alexandria database, functional GGA-PBE.

Values from the calculation:
- energy relative to the lowest polymorph listed for this composition (meV/atom) = 129
- calculated volume (Å³/atom) = 27.94
- magnetization (μB/cell) = 9.634
- final energy (eV per atom) = -6.08
- calculated formation energy (eV/atom) = 1.19

abc: 5.113 5.113 9.284
angles: 74.02 74.02 90.00
Fractional positions:
Ti 0.250 0.750 0.500
Ti 0.500 0.500 0.000
Cr 0.375 0.625 0.750
Cr 0.375 0.625 0.250
Cr 0.375 0.125 0.250
Cr 0.875 0.625 0.750
Ba 0.750 0.250 0.500
Ba 0.000 0.000 0.000